Material: NaZr2SiRh
Method: DFT, GGA-PBE
State: optimized geometry

The structure in POSCAR format:
```
NaZr2SiRh
1.0
5.104 0.000 0.000
0.000 4.594 0.000
0.000 0.000 5.104
Na Si Rh Zr
1 1 1 2
Cartesian
2.552 2.297 2.552 Na
0.000 2.297 0.000 Si
0.000 0.000 0.000 Rh
0.000 0.000 2.552 Zr
2.552 0.000 0.000 Zr
```

## Properties
Its symmetry is P4/mmm. The formation energy (no corrections) comes out at 21.1 kJ/mol of atoms. The electronic total energy comes out at -6.0197 eV per atom.